one) MoP2RuO | GGA+U | optimized geometry Values from VASP.

Summary:
Space-group type: P4/mmm (123)
Total magnetic moment (μB/f.u.): 3.64

Geometry as Quantum ESPRESSO input:
```
&SYSTEM
  ibrav = 0, nat = 5, ntyp = 4
/
ATOMIC_SPECIES
Mo 95.94 Mo.upf
P 30.97 P.upf
O 16.00 O.upf
Ru 101.07 Ru.upf
CELL_PARAMETERS angstrom
-2.251 -3.425 2.535
-1.014 -2.355 -4.081
3.121 -1.839 0.286
ATOMIC_POSITIONS crystal
Mo 0.500 0.500 0.500
P 0.000 0.500 0.000
P 0.500 0.000 0.000
O 0.000 0.000 0.500
Ru 0.000 0.000 0.000
```

---

two) MoP2RuO | GGA+U | optimized geometry Values from VASP.

Summary:
Space-group type: P4/mmm (123)
Total magnetic moment (μB/f.u.): 3.10

Geometry as Quantum ESPRESSO input:
```
&SYSTEM
  ibrav = 0, nat = 5, ntyp = 4
/
ATOMIC_SPECIES
Ru 101.07 Ru.upf
P 30.97 P.upf
Mo 95.94 Mo.upf
O 16.00 O.upf
CELL_PARAMETERS angstrom
-0.948 -3.857 2.784
-0.629 -2.712 -3.971
3.603 -0.869 0.023
ATOMIC_POSITIONS crystal
Ru 0.500 0.500 0.500
P 0.000 0.500 0.000
P 0.500 0.000 0.000
Mo 0.000 0.000 0.000
O 0.000 0.000 0.500
```

---

Energies relative to the most stable structure, in meV per atom: one) 0; two) 258.

---

one) MoP2SO | GGA+U | optimized geometry Values from VASP.

Summary:
Space-group type: P4/mmm (123)
Total magnetic moment (μB/f.u.): 2.88

Geometry as Quantum ESPRESSO input:
```
&SYSTEM
  ibrav = 0, nat = 5, ntyp = 4
/
ATOMIC_SPECIES
P 30.97 P.upf
Mo 95.94 Mo.upf
S 32.06 S.upf
O 16.00 O.upf
CELL_PARAMETERS angstrom
4.287 0.000 0.000
0.000 4.399 0.000
0.000 0.000 4.287
ATOMIC_POSITIONS crystal
P 0.000 0.000 0.500
P 0.500 0.000 0.000
Mo 0.000 0.500 0.000
S 0.500 0.500 0.500
O 0.000 0.000 0.000
```

---

two) MoP2SO | GGA+U | optimized geometry Values from VASP.

Summary:
Space-group type: P4/mmm (123)
Total magnetic moment (μB/f.u.): 0.00

Geometry as Quantum ESPRESSO input:
```
&SYSTEM
  ibrav = 0, nat = 5, ntyp = 4
/
ATOMIC_SPECIES
O 16.00 O.upf
P 30.97 P.upf
S 32.06 S.upf
Mo 95.94 Mo.upf
CELL_PARAMETERS angstrom
4.703 0.000 0.000
0.000 4.703 0.000
0.000 0.000 4.493
ATOMIC_POSITIONS crystal
O 0.500 0.500 0.500
P 0.000 0.500 0.000
P 0.500 0.000 0.000
S 0.000 0.000 0.500
Mo 0.000 0.000 0.000
```

---

Energies relative to the most stable structure, in meV per atom: one) 0; two) 455.

---

one) MoPS2O | GGA+U | optimized geometry Values from VASP.

Summary:
Space-group type: P4/mmm (123)
Total magnetic moment (μB/f.u.): 0.00

Geometry as Quantum ESPRESSO input:
```
&SYSTEM
  ibrav = 0, nat = 5, ntyp = 4
/
ATOMIC_SPECIES
P 30.97 P.upf
S 32.06 S.upf
O 16.00 O.upf
Mo 95.94 Mo.upf
CELL_PARAMETERS angstrom
-1.623 -3.101 2.912
3.420 0.902 2.866
-2.683 3.405 2.130
ATOMIC_POSITIONS crystal
P 0.000 0.000 0.500
S 0.500 0.000 0.000
S 0.000 0.500 0.000
O 0.500 0.500 0.500
Mo 0.000 0.000 0.000
```

---

two) MoPS2O | GGA+U | optimized geometry Values from VASP.

Summary:
Space-group type: P4/mmm (123)
Total magnetic moment (μB/f.u.): 2.19

Geometry as Quantum ESPRESSO input:
```
&SYSTEM
  ibrav = 0, nat = 5, ntyp = 4
/
ATOMIC_SPECIES
S 32.06 S.upf
Mo 95.94 Mo.upf
O 16.00 O.upf
P 30.97 P.upf
CELL_PARAMETERS angstrom
4.406 0.000 0.000
0.000 4.406 0.000
0.000 0.000 3.976
ATOMIC_POSITIONS crystal
S 0.000 0.500 0.000
S 0.500 0.000 0.000
Mo 0.500 0.500 0.500
O 0.000 0.000 0.000
P 0.000 0.000 0.500
```

---

three) MoPS2O | GGA+U | optimized geometry Values from VASP.

Summary:
Space-group type: P4/mmm (123)
Total magnetic moment (μB/f.u.): 2.18

Geometry as Quantum ESPRESSO input:
```
&SYSTEM
  ibrav = 0, nat = 5, ntyp = 4
/
ATOMIC_SPECIES
P 30.97 P.upf
O 16.00 O.upf
S 32.06 S.upf
Mo 95.94 Mo.upf
CELL_PARAMETERS angstrom
4.895 0.000 0.000
0.000 3.775 0.000
0.000 0.000 4.895
ATOMIC_POSITIONS crystal
P 0.500 0.500 0.500
O 0.000 0.500 0.000
S 0.500 0.000 0.000
S 0.000 0.000 0.500
Mo 0.000 0.000 0.000
```

---

Energies relative to the most stable structure, in meV per atom: one) 928; two) 585; three) 0.

---

one) ScMoP2O | GGA+U | optimized geometry Values from VASP.

Summary:
Space-group type: P4/mmm (123)
Total magnetic moment (μB/f.u.): 3.29

Geometry as Quantum ESPRESSO input:
```
&SYSTEM
  ibrav = 0, nat = 5, ntyp = 4
/
ATOMIC_SPECIES
Sc 44.96 Sc.upf
Mo 95.94 Mo.upf
O 16.00 O.upf
P 30.97 P.upf
CELL_PARAMETERS angstrom
5.097 0.000 0.000
0.000 5.097 0.000
0.000 0.000 3.835
ATOMIC_POSITIONS crystal
Sc 0.000 0.000 0.000
Mo 0.500 0.500 0.500
O 0.000 0.000 0.500
P 0.500 0.000 0.000
P 0.000 0.500 0.000
```

---

two) ScMoP2O | GGA+U | optimized geometry Values from VASP.

Summary:
Space-group type: P4/mmm (123)
Total magnetic moment (μB/f.u.): 1.05

Geometry as Quantum ESPRESSO input:
```
&SYSTEM
  ibrav = 0, nat = 5, ntyp = 4
/
ATOMIC_SPECIES
P 30.97 P.upf
O 16.00 O.upf
Mo 95.94 Mo.upf
Sc 44.96 Sc.upf
CELL_PARAMETERS angstrom
-4.252 -1.291 2.038
2.255 -3.593 2.429
0.661 2.357 2.872
ATOMIC_POSITIONS crystal
P 0.000 0.500 0.000
P 0.500 0.000 0.000
O 0.000 0.000 0.500
Mo 0.000 0.000 0.000
Sc 0.500 0.500 0.500
```

---

Energies relative to the most stable structure, in meV per atom: one) 370; two) 0.

---

one) SnMoP2O | GGA+U | optimized geometry Values from VASP.

Summary:
Space-group type: P4/mmm (123)
Total magnetic moment (μB/f.u.): 2.61

Geometry as Quantum ESPRESSO input:
```
&SYSTEM
  ibrav = 0, nat = 5, ntyp = 4
/
ATOMIC_SPECIES
P 30.97 P.upf
O 16.00 O.upf
Mo 95.94 Mo.upf
Sn 118.71 Sn.upf
CELL_PARAMETERS angstrom
5.106 0.000 0.000
0.000 5.106 0.000
0.000 0.000 3.932
ATOMIC_POSITIONS crystal
P 0.000 0.500 0.000
P 0.500 0.000 0.000
O 0.000 0.000 0.500
Mo 0.500 0.500 0.500
Sn 0.000 0.000 0.000
```

---

two) SnMoP2O | GGA+U | optimized geometry Values from VASP.

Summary:
Space-group type: P4/mmm (123)
Total magnetic moment (μB/f.u.): 0.47

Geometry as Quantum ESPRESSO input:
```
&SYSTEM
  ibrav = 0, nat = 5, ntyp = 4
/
ATOMIC_SPECIES
Mo 95.94 Mo.upf
P 30.97 P.upf
O 16.00 O.upf
Sn 118.71 Sn.upf
CELL_PARAMETERS angstrom
4.966 0.000 0.000
0.000 4.966 0.000
0.000 0.000 3.814
ATOMIC_POSITIONS crystal
Mo 0.000 0.000 0.000
P 0.000 0.500 0.000
P 0.500 0.000 0.000
O 0.000 0.000 0.500
Sn 0.500 0.500 0.500
```

---

Energies relative to the most stable structure, in meV per atom: one) 649; two) 0.

---

one) SrMoP2O8 | GGA+U | optimized geometry Values from VASP.

Summary:
Space-group type: R32 (155)
Total magnetic moment (μB/f.u.): 2.00

Geometry as Quantum ESPRESSO input:
```
&SYSTEM
  ibrav = 0, nat = 12, ntyp = 4
/
ATOMIC_SPECIES
O 16.00 O.upf
Mo 95.94 Mo.upf
P 30.97 P.upf
Sr 87.62 Sr.upf
CELL_PARAMETERS angstrom
4.820 0.000 0.000
2.410 4.174 0.000
2.410 1.391 7.795
ATOMIC_POSITIONS crystal
O 0.748 0.486 0.672
O 0.514 0.252 0.328
O 0.311 0.311 0.067
O 0.252 0.906 0.328
O 0.906 0.514 0.328
O 0.689 0.689 0.933
O 0.094 0.748 0.672
O 0.486 0.094 0.672
Mo 0.500 0.500 0.500
P 0.754 0.754 0.737
P 0.246 0.246 0.263
Sr 0.000 0.000 0.000
```

---

two) SrMoP2O8 | GGA+U | optimized geometry Values from VASP.

Summary:
Space-group type: P-1 (2)
Total magnetic moment (μB/f.u.): 2.00

Geometry as Quantum ESPRESSO input:
```
&SYSTEM
  ibrav = 0, nat = 24, ntyp = 4
/
ATOMIC_SPECIES
Mo 95.94 Mo.upf
O 16.00 O.upf
Sr 87.62 Sr.upf
P 30.97 P.upf
CELL_PARAMETERS angstrom
5.701 -0.232 -0.158
-1.291 7.176 0.456
-1.848 -3.116 8.678
ATOMIC_POSITIONS crystal
Mo 0.655 0.845 0.578
Mo 0.345 0.155 0.422
O 0.359 0.007 0.602
O 0.594 0.372 0.593
O 0.575 0.571 0.174
O 0.035 0.923 0.311
O 0.641 0.993 0.398
O 0.425 0.429 0.826
O 0.965 0.077 0.689
O 0.882 0.541 0.859
O 0.695 0.023 0.145
O 0.406 0.628 0.407
O 0.977 0.746 0.599
O 0.588 0.715 0.734
O 0.305 0.977 0.855
O 0.023 0.254 0.401
O 0.412 0.285 0.266
O 0.118 0.459 0.141
Sr 0.315 0.703 0.981
Sr 0.685 0.297 0.019
P 0.839 0.048 0.307
P 0.373 0.490 0.246
P 0.627 0.510 0.754
P 0.161 0.952 0.693
```

---

Energies relative to the most stable structure, in meV per atom: one) 67; two) 0.